A plane-wave DFT calculation with GGA-PBE was carried out for an optimized crystal structure of SmErBr2N.

```
data_SmErBr2N
_cell_length_a 3.6810
_cell_length_b 3.6810
_cell_length_c 10.5305
_cell_angle_alpha 90.00
_cell_angle_beta 90.00
_cell_angle_gamma 120.00
_symmetry_space_group_name_H-M 'P 1'
_symmetry_Int_Tables_number 1
_symmetry_space_group_name_Hall 'P 1'
loop_
_atom_site_label
_atom_site_type_symbol
_atom_site_fract_x
_atom_site_fract_y
_atom_site_fract_z
Br1 Br 0.6667 0.3333 0.1942
Br2 Br 0.3333 0.6667 0.8162
Er1 Er 0.3333 0.6667 0.3764
N1 N 0.0000 0.0000 0.4883
Sm1 Sm 0.6667 0.3333 0.6249
```

Summary:
symmetry: No. 156
raw total energy: -29.47 eV/f.u.
size of the total moment: 0.0 μB/f.u.